# 1
The following is a PBE calculation of crystalline Tl2MoPt at its relaxed geometry, from the Alexandria database.

The structure belongs to space group I-4m2 (No. 119); the cell edges are 4.150, 4.150 and 9.222 Å and the angles 90.00°, 90.00° and 90.00°. The asymmetric unit holds Tl at (0.000, 0.000, 0.000), Tl at (0.000, 0.500, 0.250), Mo at (0.000, 0.500, 0.750) and Pt at (0.000, 0.000, 0.500).

For the energy above the lowest structure with this stoichiometry, the calculation gives 338.7 meV/atom. Its calculated formation energy is 0.595 eV/atom. The mass density is 14.6 g cm⁻³. The total magnetization is 1.530 μB/f.u.

=====

# 2
The following is a PBE calculation of crystalline Tl2MoPt at its relaxed geometry, from the Alexandria database.

The structure belongs to space group P4mm (No. 99); the cell edges are 3.073, 3.073 and 9.068 Å and the angles 90.00°, 90.00° and 90.00°. The asymmetric unit holds Tl at (0.000, 0.000, 0.000), Tl at (0.500, 0.500, 0.323), Mo at (0.000, 0.000, 0.567) and Pt at (0.500, 0.500, 0.738).

For the energy above the lowest structure with this stoichiometry, the calculation gives 0.0 meV/atom. Its calculated formation energy is 0.257 eV/atom. The mass density is 13.6 g cm⁻³. The total magnetization is 0.000 μB/f.u.

=====

# 3
The following is a PBE calculation of crystalline TlMoPt2 at its relaxed geometry, from the Alexandria database.

The structure belongs to space group I4/mmm (No. 139); the cell edges are 4.120, 4.120 and 8.138 Å and the angles 90.00°, 90.00° and 90.00°. The asymmetric unit holds Tl at (0.000, 0.000, 0.000), Mo at (0.000, 0.000, 0.500) and Pt at (0.000, 0.500, 0.250).

For the energy above the lowest structure with this stoichiometry, the calculation gives 257.2 meV/atom. Its calculated formation energy is 0.207 eV/atom. The mass density is 16.6 g cm⁻³. The total magnetization is 1.257 μB/f.u.

=====

Calculated volume per entry: 158.8, 85.6, 138.2 Å³/cell